EuCdAg4 | GGA-PBE | relaxed

a b c (Å): 8.0233 8.0233 8.0233
angles (deg): 90.00 90.00 90.00
With the nearest neighbours (Å) after each atom.
Space group F-43m (No. 216)
One atom of each set of equivalent atoms:
Eu1 0.0000 0.0000 0.0000 (multiplicity 4)  12 Ag 3.33, 4 Cd 3.47
Cd1 0.2500 0.2500 0.7500 (multiplicity 4)  12 Ag 3.33, 4 Eu 3.47
Ag1 0.1246 0.1246 0.3754 (multiplicity 16)  6 Ag 2.83-2.85

For the formation enthalpy at 0 K, the calculation gives -0.17 eV/atom. As for the total energy: -3.9401 eV per atom.